(P)
VASP calculation (PBE) on a geometry-optimized MgTaSn3 structure.

The structure in extended XYZ format:
```
5
Lattice="5.2176 0.0000 0.0000 0.0000 5.2176 0.0000 0.0000 0.0000 5.2176" Properties=species:S:1:pos:R:3 pbc="T T T"
Sn 0.0000 0.0000 2.6088
Sn 0.0000 2.6088 0.0000
Sn 2.6088 0.0000 0.0000
Mg 0.0000 0.0000 0.0000
Ta 2.6088 2.6088 2.6088
```

Values from the calculation:
The calculation puts the size of the total moment at 2.33 μB/cell. The space-group type is Pm-3m. The value obtained for the density of states at the Fermi level is 6.448 states/eV per cell.



(Q)
VASP calculation (PBE) on a geometry-optimized MgTaSn3 structure.

The structure in extended XYZ format:
```
5
Lattice="-3.0431 4.3755 -0.9430 0.5240 -0.7842 -5.3296 -4.4452 -3.0878 0.0173" Properties=species:S:1:pos:R:3 pbc="T T T"
Sn -1.5215 2.1878 -0.4715
Sn 0.2620 -0.3921 -2.6648
Sn -2.2226 -1.5439 0.0087
Ta 0.0000 0.0000 0.0000
Mg -3.4821 0.2518 -3.1276
```

Values from the calculation:
The calculation puts the size of the total moment at 0.00 μB/cell. The space-group type is Pm-3m. The value obtained for the density of states at the Fermi level is 5.169 states/eV per cell.



Verdict on stability: (P) comes out at the bottom.



(P)
VASP calculation (PBE) on a geometry-optimized Tb2Mg2Sn3 structure.

The structure in extended XYZ format:
```
7
Lattice="-0.3040 4.6512 -0.1322 -2.0147 -0.3852 -8.9225 -3.6114 -2.4590 4.0272" Properties=species:S:1:pos:R:3 pbc="T T T"
Tb -2.4488 2.0003 -6.2296
Tb -3.4813 -0.1934 1.2022
Sn -1.7234 2.2193 -0.1916
Sn -1.0073 -0.1926 -4.4612
Sn -4.2067 -0.4124 -4.8358
Mg -3.7553 1.9992 -3.2640
Mg -2.1748 -0.1923 -1.7635
```

Values from the calculation:
The calculation puts the size of the total moment at 0.00 μB/cell. The space-group type is C2/m. The value obtained for the density of states at the Fermi level is 3.288 states/eV per cell.



(Q)
VASP calculation (PBE) on a geometry-optimized Tb2Mg2Sn3 structure.

The structure in extended XYZ format:
```
14
Lattice="-3.5561 2.9759 -0.7239 -3.3084 -2.0859 -7.5357 -8.0401 -5.0528 3.5117" Properties=species:S:1:pos:R:3 pbc="T T T"
Sn -3.3909 -1.1833 -3.4203
Sn -11.5137 -2.9795 -1.3276
Sn -4.4781 1.8624 -0.7721
Sn -7.7302 -2.9414 -4.5440
Sn -7.1745 -1.2215 -0.2038
Sn -10.4265 -6.0253 -3.9758
Tb -10.8630 -3.0076 -4.6398
Tb -5.2301 -0.3204 -6.0507
Tb -9.6745 -3.8425 1.3028
Tb -4.0417 -1.1553 -0.1081
Mg -8.5235 -0.4038 -5.4286
Mg -6.3050 -0.8377 -2.8974
Mg -8.5996 -3.3251 -1.8505
Mg -6.3812 -3.7591 0.6807
```

Values from the calculation:
The calculation puts the size of the total moment at 0.00 μB/cell. The space-group type is C2/m. The value obtained for the density of states at the Fermi level is 6.483 states/eV per cell.



Verdict on stability: (P) comes out at the bottom.



(P)
VASP calculation (PBE) on a geometry-optimized TbMg2Sn structure.

The structure in extended XYZ format:
```
4
Lattice="-2.8787 -0.3341 -1.6222 -0.0171 -0.3000 -3.3075 -0.2313 -11.4806 -0.6248" Properties=species:S:1:pos:R:3 pbc="T T T"
Tb 0.0000 0.0000 0.0000
Mg -2.6888 -3.8118 -4.6425
Mg -0.4383 -8.3029 -0.9120
Sn -1.5636 -6.0573 -2.7772
```

Values from the calculation:
The calculation puts the size of the total moment at 0.00 μB/cell. The space-group type is R-3m. The value obtained for the density of states at the Fermi level is 3.165 states/eV per cell.



(Q)
VASP calculation (PBE) on a geometry-optimized TbMg2Sn structure.

The structure in extended XYZ format:
```
4
Lattice="-3.0506 3.5419 -0.9244 -3.4162 -2.5657 1.4430 0.5749 1.5865 4.1818" Properties=species:S:1:pos:R:3 pbc="T T T"
Mg 0.2875 0.7933 2.0909
Mg -1.7081 -1.2829 0.7215
Sn -1.5253 1.7709 -0.4622
Tb -2.9459 1.2814 2.3503
```

Values from the calculation:
The calculation puts the size of the total moment at 0.00 μB/cell. The space-group type is P4/mmm. The value obtained for the density of states at the Fermi level is 0.961 states/eV per cell.



Verdict on stability: (P) comes out at the bottom.



(P)
VASP calculation (PBE) on a geometry-optimized MgSn2Te structure.

The structure in extended XYZ format:
```
4
Lattice="0.0000 3.8045 3.8045 3.8045 0.0000 3.8045 3.8045 3.8045 0.0000" Properties=species:S:1:pos:R:3 pbc="T T T"
Sn 1.9022 1.9022 1.9022
Sn 5.7067 5.7067 5.7067
Te 3.8045 3.8045 3.8045
Mg 0.0000 0.0000 0.0000
```

Values from the calculation:
The calculation puts the size of the total moment at 0.00 μB/cell. The space-group type is Fm-3m. The value obtained for the density of states at the Fermi level is 2.397 states/eV per cell.



(Q)
VASP calculation (PBE) on a geometry-optimized MgSn2Te structure.

The structure in extended XYZ format:
```
8
Lattice="6.7145 0.0000 0.0000 0.0000 6.7145 0.0000 3.3572 3.3572 6.7680" Properties=species:S:1:pos:R:3 pbc="T T T"
Sn 4.9269 1.6786 1.6920
Sn 8.3931 8.2841 5.0760
Sn 5.0359 5.1449 5.0760
Sn 1.7876 5.0359 1.6920
Te 0.0000 0.0000 0.0000
Te 6.7145 3.3572 3.3840
Mg 3.3572 3.3572 0.0000
Mg 3.3572 6.7145 3.3840
```

Values from the calculation:
The calculation puts the size of the total moment at 0.00 μB/cell. The space-group type is I-42d. The value obtained for the density of states at the Fermi level is 0.043 states/eV per cell.



Verdict on stability: (Q) comes out at the bottom.



(P)
VASP calculation (PBE) on a geometry-optimized Mg3SnTe4 structure.

The structure in extended XYZ format:
```
16
Lattice="7.4649 0.0735 0.0000 -2.5464 7.0226 0.0000 0.0000 0.0000 8.6350" Properties=species:S:1:pos:R:3 pbc="T T T"
Te 5.4976 5.3148 3.3048
Te 6.7804 1.9427 1.1584
Te 3.0479 1.9059 7.4766
Te 3.1533 1.8179 3.3048
Te 1.7652 5.2781 5.3302
Te -0.5791 1.7812 5.3302
Te -1.8619 5.1534 7.4766
Te 1.8705 5.1901 1.1584
Mg 4.3254 3.5664 1.1075
Mg 0.5930 3.5296 7.5275
Mg 0.5930 3.5296 3.2642
Mg 5.5987 0.0551 3.2565
Mg 4.3254 3.5664 5.3709
Mg 1.8662 0.0184 5.3785
Sn 5.5987 0.0551 7.5503
Sn 1.8662 0.0184 1.0847
```

Values from the calculation:
The calculation puts the size of the total moment at 0.00 μB/cell. The space-group type is P2/c.



(Q)
VASP calculation (PBE) on a geometry-optimized Mg3SnTe4 structure.

The structure in extended XYZ format:
```
8
Lattice="-6.6374 0.8812 0.2473 -0.9117 -6.2056 -2.3563 3.6943 0.3108 7.2781" Properties=species:S:1:pos:R:3 pbc="T T T"
Mg -3.7745 -2.6622 -1.0545
Mg -0.4960 -4.2785 1.9336
Mg -3.3588 -0.7351 3.2355
Sn 0.0000 0.0000 0.0000
Te -1.3786 -0.0894 5.1603
Te 1.2610 -3.3564 3.9600
Te -2.0559 -2.0634 1.0950
Te -5.5361 -4.5179 0.1228
```

Values from the calculation:
The calculation puts the size of the total moment at 0.00 μB/cell. The space-group type is I-42m.



Verdict on stability: (Q) comes out at the bottom.



(P)
VASP calculation (PBE) on a geometry-optimized ThMg2Sn2 structure.

The structure in extended XYZ format:
```
10
Lattice="-3.4825 2.7638 0.1909 -0.0523 -0.3725 4.4395 9.8937 8.8249 0.8570" Properties=species:S:1:pos:R:3 pbc="T T T"
Mg 0.6876 0.6306 3.4145
Mg -1.0474 2.1739 1.2879
Mg 5.6712 10.5855 2.0728
Mg 7.4062 9.0422 4.1994
Th 5.6291 6.9708 1.7690
Th 0.7297 4.2453 3.7183
Sn 4.3732 8.8069 4.1440
Sn 2.3219 6.3922 1.6815
Sn 1.9857 2.4093 1.3434
Sn 4.0370 4.8240 3.8058
```

Values from the calculation:
The calculation puts the size of the total moment at 0.00 μB/cell. The space-group type is Cmcm. The value obtained for the density of states at the Fermi level is 4.082 states/eV per cell.



(Q)
VASP calculation (PBE) on a geometry-optimized ThMg2Sn2 structure.

The structure in extended XYZ format:
```
5
Lattice="-0.6993 0.8013 4.2912 -3.7789 -2.2870 -0.1887 5.4978 -4.7751 -0.4898" Properties=species:S:1:pos:R:3 pbc="T T T"
Mg 1.2796 -2.3583 2.9263
Mg -0.2600 -3.9024 0.6864
Th 0.0000 0.0000 0.0000
Sn -1.5315 -1.9430 2.3907
Sn 2.5511 -4.3177 1.2220
```

Values from the calculation:
The calculation puts the size of the total moment at 0.00 μB/cell. The space-group type is I4/mmm. The value obtained for the density of states at the Fermi level is 2.749 states/eV per cell.



Verdict on stability: (Q) comes out at the bottom.